{
  "formula": "CoNiPbF6",
  "functional": "PBE with a Hubbard U",
  "state": "relaxed",
  "cell": [[5.3903, 0.0000, 0.0000], [-2.6951, 4.6681, 0.0000], [0.0000, 0.0000, 10.5610]],
  "species": ["Co", "Co", "Ni", "Ni", "Pb", "Pb", "F", "F", "F", "F", "F", "F", "F", "F", "F", "F", "F", "F"],
  "fractional_positions": [[0.6667, 0.3333, 0.2500], [0.3333, 0.6667, 0.7500], [0.3333, 0.6667, 0.2500], [0.6667, 0.3333, 0.7500], [0.0000, 0.0000, 0.0000], [0.0000, 0.0000, 0.5000], [0.3687, 0.3650, 0.8558], [0.9963, 0.6313, 0.8558], [0.6313, 0.9963, 0.3558], [0.0037, 0.3687, 0.1442], [0.6350, 0.6313, 0.6442], [0.9963, 0.3650, 0.6442], [0.3650, 0.9963, 0.1442], [0.3687, 0.0037, 0.6442], [0.0037, 0.6350, 0.3558], [0.6350, 0.0037, 0.8558], [0.3650, 0.3687, 0.3558], [0.6313, 0.6350, 0.1442]],
  "dos_at_fermi_per_ev_cell": 13.4,
  "energy_ev_per_cell": -83.90,
  "space_group": "No. 163",
  "vol_a3_per_atom": 14.76
}